No. 1
The following is a DFT calculation (GGA-PBE) of an optimized crystal structure of Dy8Th4Mg.

calculated density	9000	kg/m³
formation energy from the elements	163	meV per atom
space-group type	No. 166

Lattice parameters (Å, degrees): 9.911 9.911 9.911 43.32 43.32 43.32
Sites, in units of the cell vectors:
Dy: 0.203 0.748 0.748
Dy: 0.219 0.219 0.219
Dy: 0.252 0.252 0.797
Dy: 0.252 0.797 0.252
Dy: 0.748 0.203 0.748
Dy: 0.748 0.748 0.203
Dy: 0.781 0.781 0.781
Dy: 0.797 0.252 0.252
Th: 0.000 0.000 0.000
Th: 0.000 0.500 0.500
Th: 0.500 0.000 0.500
Th: 0.500 0.500 0.000
Mg: 0.500 0.500 0.500

No. 2
The following is a DFT calculation (GGA-PBE) of an optimized crystal structure of NiTeW.

calculated density	12620	kg/m³
relative energy among the computed polymorphs	0.000	eV per atom
space-group type	No. 107

Lattice parameters (Å, degrees): 5.081 5.081 5.081 142.31 142.31 54.36
Sites, in units of the cell vectors:
Ni: 0.000 0.000 0.000
Te: 0.664 0.664 0.000
W: 0.340 0.340 0.000

No. 3
The following is a DFT calculation (GGA-PBE) of an optimized crystal structure of Nd4RuSe3.

calculated density	6963	kg/m³
space-group type	No. 13
total DFT energy (no corrections)	-100.03	eV per cell

Lattice parameters (Å, degrees): 7.521 8.516 7.227 90.00 109.51 90.00
Sites, in units of the cell vectors:
Nd: 0.231 0.117 0.002
Nd: 0.231 0.883 0.502
Nd: 0.235 0.352 0.479
Nd: 0.235 0.648 0.979
Nd: 0.765 0.352 0.021
Nd: 0.765 0.648 0.521
Nd: 0.769 0.117 0.498
Nd: 0.769 0.883 0.998
Ru: 0.000 0.122 0.250
Ru: 0.000 0.878 0.750
Se: 0.000 0.382 0.750
Se: 0.000 0.618 0.250
Se: 0.500 0.126 0.750
Se: 0.500 0.383 0.250
Se: 0.500 0.617 0.750
Se: 0.500 0.874 0.250

No. 4
The following is a DFT calculation (GGA-PBE) of an optimized crystal structure of Ac2CdRuO6.

calculated density	8637	kg/m³
space-group type	No. 14
total DFT energy (no corrections)	-140.14	eV per cell

Lattice parameters (Å, degrees): 5.802 6.108 10.083 90.00 124.76 90.00
Sites, in units of the cell vectors:
Ac: 0.235 0.060 0.250
Ac: 0.235 0.440 0.750
Ac: 0.765 0.560 0.250
Ac: 0.765 0.940 0.750
Cd: 0.500 0.000 0.000
Cd: 0.500 0.500 0.500
Ru: 0.000 0.000 0.500
Ru: 0.000 0.500 0.000
O: 0.121 0.219 0.942
O: 0.121 0.281 0.442
O: 0.240 0.683 0.953
O: 0.240 0.817 0.453
O: 0.333 0.036 0.733
O: 0.333 0.464 0.233
O: 0.667 0.536 0.767
O: 0.667 0.964 0.267
O: 0.760 0.183 0.547
O: 0.760 0.317 0.047
O: 0.879 0.719 0.558
O: 0.879 0.781 0.058

No. 5
The following is a DFT calculation (GGA-PBE) of an optimized crystal structure of HfSc2UP4.

calculated density	6837	kg/m³
formation energy from the elements	-1316	meV per atom
space-group type	No. 10

Lattice parameters (Å, degrees): 6.545 3.785 6.549 90.00 109.29 90.00
Sites, in units of the cell vectors:
Hf: 0.000 0.000 0.000
Sc: 0.000 0.500 0.500
Sc: 0.500 0.000 0.500
U: 0.500 0.500 0.000
P: 0.241 0.000 0.744
P: 0.245 0.500 0.250
P: 0.755 0.500 0.750
P: 0.759 0.000 0.256

No. 6
The following is a DFT calculation (GGA-PBE) of an optimized crystal structure of Ce5TlSb.

calculated density	8679	kg/m³
space-group type	No. 15
total DFT energy (no corrections)	-75.82	eV per cell

Lattice parameters (Å, degrees): 5.610 5.610 12.732 97.09 97.09 94.37
Sites, in units of the cell vectors:
Ce: 0.032 0.968 0.750
Ce: 0.090 0.533 0.637
Ce: 0.284 0.518 0.942
Ce: 0.467 0.910 0.863
Ce: 0.482 0.716 0.558
Ce: 0.518 0.284 0.442
Ce: 0.533 0.090 0.137
Ce: 0.716 0.482 0.058
Ce: 0.910 0.467 0.363
Ce: 0.968 0.032 0.250
Tl: 0.000 0.000 0.000
Tl: 0.000 0.000 0.500
Sb: 0.383 0.617 0.250
Sb: 0.617 0.383 0.750

No. 7
The following is a DFT calculation (GGA-PBE) of an optimized crystal structure of In2AsAu.

calculated density	8192	kg/m³
formation energy from the elements	-97	meV per atom
relative energy among the computed polymorphs	0.009	eV per atom
space-group type	No. 38

Lattice parameters (Å, degrees): 4.496 4.994 4.994 65.02 90.00 90.00
Sites, in units of the cell vectors:
In: 0.000 0.000 0.000
In: 0.500 0.383 0.383
As: 0.000 0.612 0.612
Au: 0.500 0.788 0.788

No. 8
The following is a DFT calculation (GGA-PBE) of an optimized crystal structure of LiCe2Ga.

calculated density	6810	kg/m³
formation energy from the elements	-136	meV per atom
space-group type	No. 47

Lattice parameters (Å, degrees): 3.115 4.623 6.044 90.00 90.00 90.00
Sites, in units of the cell vectors:
Li: 0.000 0.000 0.000
Ce: 0.500 0.500 0.234
Ce: 0.500 0.500 0.766
Ga: 0.000 0.000 0.500

No. 9
The following is a DFT calculation (GGA-PBE) of an optimized crystal structure of La2IrCl.

calculated density	8728	kg/m³
relative energy among the computed polymorphs	0.400	eV per atom
space-group type	No. 225

Lattice parameters (Å, degrees): 5.143 5.143 5.143 60.00 60.00 60.00
Sites, in units of the cell vectors:
La: 0.250 0.250 0.250
La: 0.750 0.750 0.750
Ir: 0.000 0.000 0.000
Cl: 0.500 0.500 0.500

No. 10
The following is a DFT calculation (GGA-PBE) of an optimized crystal structure of CuSbSe2.

calculated density	5137	kg/m³
space-group type	No. 122
total DFT energy (no corrections)	-30.93	eV per cell

Lattice parameters (Å, degrees): 7.356 7.356 7.356 130.98 130.98 71.84
Sites, in units of the cell vectors:
Cu: 0.000 0.000 0.000
Cu: 0.750 0.250 0.500
Sb: 0.250 0.750 0.500
Sb: 0.500 0.500 0.000
Se: 0.072 0.625 0.947
Se: 0.375 0.322 0.447
Se: 0.678 0.125 0.053
Se: 0.875 0.928 0.553

No. 11
The following is a DFT calculation (GGA-PBE) of an optimized crystal structure of Cr2HgS4.

calculated density	5687	kg/m³
relative energy among the computed polymorphs	0.140	eV per atom
space-group type	No. 62

Lattice parameters (Å, degrees): 11.256 3.520 12.760 90.00 90.00 90.00
Sites, in units of the cell vectors:
Cr: 0.050 0.250 0.113
Cr: 0.093 0.250 0.594
Cr: 0.407 0.750 0.094
Cr: 0.450 0.750 0.613
Cr: 0.550 0.250 0.387
Cr: 0.593 0.250 0.906
Cr: 0.907 0.750 0.406
Cr: 0.950 0.750 0.887
Hg: 0.235 0.250 0.322
Hg: 0.265 0.750 0.822
Hg: 0.735 0.250 0.178
Hg: 0.765 0.750 0.678
S: 0.057 0.750 0.715
S: 0.085 0.250 0.933
S: 0.110 0.750 0.461
S: 0.193 0.750 0.148
S: 0.307 0.250 0.648
S: 0.390 0.250 0.961
S: 0.415 0.750 0.433
S: 0.443 0.250 0.215
S: 0.557 0.750 0.785
S: 0.585 0.250 0.567
S: 0.610 0.750 0.039
S: 0.693 0.750 0.352
S: 0.807 0.250 0.852
S: 0.890 0.250 0.539
S: 0.915 0.750 0.067
S: 0.943 0.250 0.285

No. 12
The following is a DFT calculation (GGA-PBE) of an optimized crystal structure of LaPm6Th.

calculated density	7483	kg/m³
formation energy from the elements	31	meV per atom
space-group type	No. 123

Lattice parameters (Å, degrees): 7.295 7.295 5.174 90.00 90.00 90.00
Sites, in units of the cell vectors:
La: 0.000 0.000 0.000
Pm: 0.000 0.500 0.000
Pm: 0.256 0.256 0.500
Pm: 0.256 0.744 0.500
Pm: 0.500 0.000 0.000
Pm: 0.744 0.256 0.500
Pm: 0.744 0.744 0.500
Th: 0.500 0.500 0.000

No. 13
The following is a DFT calculation (GGA-PBE) of an optimized crystal structure of ZrMnCl3.

calculated density	4482	kg/m³
relative energy among the computed polymorphs	0.686	eV per atom
space-group type	No. 221

Lattice parameters (Å, degrees): 4.540 4.540 4.540 90.00 90.00 90.00
Sites, in units of the cell vectors:
Zr: 0.000 0.000 0.000
Mn: 0.500 0.500 0.500
Cl: 0.000 0.500 0.500
Cl: 0.500 0.000 0.500
Cl: 0.500 0.500 0.000

No. 14
The following is a DFT calculation (GGA-PBE) of an optimized crystal structure of Zr4TcAu.

calculated density	8946	kg/m³
formation energy from the elements	-329	meV per atom
relative energy among the computed polymorphs	0.000	eV per atom
space-group type	No. 123

Lattice parameters (Å, degrees): 3.314 3.314 11.151 90.00 90.00 90.00
Sites, in units of the cell vectors:
Zr: 0.000 0.000 0.144
Zr: 0.000 0.000 0.856
Zr: 0.500 0.500 0.332
Zr: 0.500 0.500 0.668
Tc: 0.500 0.500 0.000
Au: 0.000 0.000 0.500

No. 15
The following is a DFT calculation (GGA-PBE) of an optimized crystal structure of Cd3O.

calculated density	7951	kg/m³
relative energy among the computed polymorphs	0.000	eV per atom
space-group type	No. 44

Lattice parameters (Å, degrees): 5.398 5.398 5.398 146.03 69.32 121.59
Sites, in units of the cell vectors:
Cd: 0.000 0.000 0.000
Cd: 0.341 0.525 0.816
Cd: 0.708 0.525 0.184
O: 0.343 0.843 0.500

No. 16
The following is a DFT calculation (GGA-PBE) of an optimized crystal structure of PmCo5As3.

calculated density	8462	kg/m³
formation energy from the elements	-464	meV per atom
space-group type	No. 63

Lattice parameters (Å, degrees): 6.228 6.228 11.737 90.00 90.00 145.06
Sites, in units of the cell vectors:
Pm: 0.163 0.837 0.750
Pm: 0.837 0.163 0.250
Co: 0.000 0.000 0.000
Co: 0.000 0.000 0.500
Co: 0.194 0.806 0.069
Co: 0.194 0.806 0.431
Co: 0.447 0.553 0.642
Co: 0.447 0.553 0.858
Co: 0.553 0.447 0.142
Co: 0.553 0.447 0.358
Co: 0.806 0.194 0.569
Co: 0.806 0.194 0.931
As: 0.108 0.892 0.250
As: 0.381 0.619 0.044
As: 0.381 0.619 0.456
As: 0.619 0.381 0.544
As: 0.619 0.381 0.956
As: 0.892 0.108 0.750

No. 17
The following is a DFT calculation (GGA-PBE) of an optimized crystal structure of BaNd2Pd.

calculated density	5318	kg/m³
formation energy from the elements	-141	meV per atom
relative energy among the computed polymorphs	0.121	eV per atom
space-group type	No. 166

Lattice parameters (Å, degrees): 11.298 11.298 11.298 21.27 21.27 21.27
Sites, in units of the cell vectors:
Ba: 0.000 0.000 0.000
Nd: 0.119 0.119 0.119
Nd: 0.881 0.881 0.881
Pd: 0.500 0.500 0.500

No. 18
The following is a DFT calculation (GGA-PBE) of an optimized crystal structure of CsSi6S12.

calculated density	1155	kg/m³
space-group type	No. 166
total DFT energy (no corrections)	-86.06	eV per cell

Lattice parameters (Å, degrees): 9.984 9.984 9.984 85.64 85.64 85.64
Sites, in units of the cell vectors:
Cs: 0.000 0.000 0.000
Si: 0.070 0.070 0.371
Si: 0.070 0.371 0.070
Si: 0.371 0.070 0.070
Si: 0.629 0.930 0.930
Si: 0.930 0.629 0.930
Si: 0.930 0.930 0.629
S: 0.005 0.747 0.747
S: 0.114 0.500 0.886
S: 0.114 0.886 0.500
S: 0.253 0.253 0.995
S: 0.253 0.995 0.253
S: 0.500 0.114 0.886
S: 0.500 0.886 0.114
S: 0.747 0.005 0.747
S: 0.747 0.747 0.005
S: 0.886 0.114 0.500
S: 0.886 0.500 0.114
S: 0.995 0.253 0.253

No. 19
The following is a DFT calculation (GGA-PBE) of an optimized crystal structure of Pr3As5Se12.

calculated density	5132	kg/m³
space-group type	No. 230
total DFT energy (no corrections)	-371.96	eV per cell

Lattice parameters (Å, degrees): 14.315 14.315 14.315 109.47 109.47 109.47
Sites, in units of the cell vectors:
Pr: 0.125 0.250 0.375
Pr: 0.125 0.375 0.750
Pr: 0.250 0.375 0.125
Pr: 0.250 0.875 0.625
Pr: 0.375 0.125 0.250
Pr: 0.375 0.750 0.125
Pr: 0.625 0.250 0.875
Pr: 0.625 0.875 0.750
Pr: 0.750 0.125 0.375
Pr: 0.750 0.625 0.875
Pr: 0.875 0.625 0.250
Pr: 0.875 0.750 0.625
As: 0.000 0.000 0.000
As: 0.000 0.000 0.500
As: 0.000 0.500 0.000
As: 0.000 0.500 0.500
As: 0.125 0.750 0.875
As: 0.125 0.875 0.250
As: 0.250 0.125 0.875
As: 0.250 0.625 0.375
As: 0.375 0.250 0.625
As: 0.375 0.625 0.750
As: 0.500 0.000 0.000
As: 0.500 0.000 0.500
As: 0.500 0.500 0.000
As: 0.500 0.500 0.500
As: 0.625 0.375 0.250
As: 0.625 0.750 0.375
As: 0.750 0.375 0.625
As: 0.750 0.875 0.125
As: 0.875 0.125 0.750
As: 0.875 0.250 0.125
Se: 0.039 0.211 0.127
Se: 0.039 0.328 0.911
Se: 0.084 0.711 0.672
Se: 0.084 0.873 0.411
Se: 0.089 0.627 0.416
Se: 0.089 0.961 0.672
Se: 0.127 0.039 0.211
Se: 0.127 0.589 0.916
Se: 0.172 0.211 0.584
Se: 0.172 0.461 0.589
Se: 0.211 0.127 0.039
Se: 0.211 0.584 0.172
Se: 0.289 0.328 0.916
Se: 0.289 0.461 0.373
Se: 0.328 0.911 0.039
Se: 0.328 0.916 0.289
Se: 0.373 0.289 0.461
Se: 0.373 0.584 0.911
Se: 0.411 0.084 0.873
Se: 0.411 0.828 0.539
Se: 0.416 0.089 0.627
Se: 0.416 0.828 0.789
Se: 0.461 0.373 0.289
Se: 0.461 0.589 0.172
Se: 0.539 0.411 0.828
Se: 0.539 0.627 0.711
Se: 0.584 0.172 0.211
Se: 0.584 0.911 0.373
Se: 0.589 0.172 0.461
Se: 0.589 0.916 0.127
Se: 0.627 0.416 0.089
Se: 0.627 0.711 0.539
Se: 0.672 0.084 0.711
Se: 0.672 0.089 0.961
Se: 0.711 0.539 0.627
Se: 0.711 0.672 0.084
Se: 0.789 0.416 0.828
Se: 0.789 0.873 0.961
Se: 0.828 0.539 0.411
Se: 0.828 0.789 0.416
Se: 0.873 0.411 0.084
Se: 0.873 0.961 0.789
Se: 0.911 0.039 0.328
Se: 0.911 0.373 0.584
Se: 0.916 0.127 0.589
Se: 0.916 0.289 0.328
Se: 0.961 0.672 0.089
Se: 0.961 0.789 0.873